Entry from the Open Quantum Materials Database: a relaxed structure of NdReB (PBE).

- crystal system = cubic
- calculated volume (Å³/cell) = 214.16
- total energy (hartree per atom) = -0.26690

```
data_NdReB
_chemical_formula_sum 'Nd4 Re4 B4'
_cell_length_a 5.983
_cell_length_b 5.983
_cell_length_c 5.983
_cell_angle_alpha 90.00
_cell_angle_beta 90.00
_cell_angle_gamma 90.00
_space_group_name_H-M_alt 'F -4 3 m'
_space_group_IT_number 216
_space_group_name_Hall 'F -4 2 3'
loop_
_atom_site_label
_atom_site_type_symbol
_atom_site_fract_x
_atom_site_fract_y
_atom_site_fract_z
Nd1 Nd 0.000 0.000 0.000
Re1 Re 0.000 0.000 0.500
B1 B 0.250 0.250 0.250
```

Entry from the Open Quantum Materials Database: a relaxed structure of BeInCoPd (PBE).

- crystal system = cubic
- calculated volume (Å³/cell) = 220.18
- energy above the most stable polymorph in this dataset (eV/atom) = 0.000

```
data_BeInCoPd
_chemical_formula_sum 'Be4 In4 Co4 Pd4'
_cell_length_a 6.038
_cell_length_b 6.038
_cell_length_c 6.038
_cell_angle_alpha 90.00
_cell_angle_beta 90.00
_cell_angle_gamma 90.00
_space_group_name_H-M_alt 'F -4 3 m'
_space_group_IT_number 216
_space_group_name_Hall 'F -4 2 3'
loop_
_atom_site_label
_atom_site_type_symbol
_atom_site_fract_x
_atom_site_fract_y
_atom_site_fract_z
Be1 Be 0.000 0.000 0.000
In1 In 0.000 0.000 0.500
Co1 Co 0.250 0.250 0.750
Pd1 Pd 0.250 0.250 0.250
```

Entry from the Open Quantum Materials Database: a relaxed structure of Gd3Nb3As (PBE).

- crystal system = monoclinic
- calculated volume (Å³/cell) = 356.50
- total energy (hartree per atom) = -0.26271

```
data_Gd3Nb3As
_chemical_formula_sum 'Gd6 Nb6 As2'
_cell_length_a 8.083
_cell_length_b 3.753
_cell_length_c 11.856
_cell_angle_alpha 90.00
_cell_angle_beta 97.63
_cell_angle_gamma 90.00
_space_group_name_H-M_alt 'P 1 21/m 1'
_space_group_IT_number 11
_space_group_name_Hall '-P 2yb'
loop_
_atom_site_label
_atom_site_type_symbol
_atom_site_fract_x
_atom_site_fract_y
_atom_site_fract_z
Gd1 Gd 0.067 0.250 0.141
Gd2 Gd 0.141 0.250 0.629
Gd3 Gd 0.384 0.750 0.363
Nb1 Nb 0.257 0.250 0.901
Nb2 Nb 0.377 0.750 0.063
Nb3 Nb 0.435 0.750 0.807
As1 As 0.126 0.250 0.388
```

Entry from the Open Quantum Materials Database: a relaxed structure of TaBiN2O (PBE).

- crystal system = monoclinic
- calculated volume (Å³/cell) = 264.06
- total energy (hartree per atom) = -0.30541

```
data_TaBiN2O
_chemical_formula_sum 'Ta4 Bi4 N8 O4'
_cell_length_a 7.859
_cell_length_b 8.049
_cell_length_c 5.724
_cell_angle_alpha 90.00
_cell_angle_beta 133.17
_cell_angle_gamma 90.00
_space_group_name_H-M_alt 'C 1 2/m 1'
_space_group_IT_number 12
_space_group_name_Hall '-C 2y'
loop_
_atom_site_label
_atom_site_type_symbol
_atom_site_fract_x
_atom_site_fract_y
_atom_site_fract_z
Ta1 Ta 0.250 0.250 0.000
Bi1 Bi 0.249 0.000 0.450
N1 N 0.000 0.280 0.500
N2 N 0.166 0.000 0.966
O1 O 0.000 0.306 0.000
```